1.
The following is a meta-GGA SCAN calculation of Mg2HgN at its PBEsol-relaxed geometry, from Alexandria via LeMat-Bulk.

abc: 6.344 6.344 6.344
angles: 90.00 90.00 90.00
Fractional positions:
Mg  0.250  0.250  0.250
Mg  0.250  0.250  0.750
Mg  0.250  0.750  0.250
Mg  0.250  0.750  0.750
Mg  0.750  0.250  0.250
Mg  0.750  0.250  0.750
Mg  0.750  0.750  0.250
Mg  0.750  0.750  0.750
Hg  0.000  0.000  0.000
Hg  0.000  0.500  0.500
Hg  0.500  0.000  0.500
Hg  0.500  0.500  0.000
N  0.000  0.000  0.500
N  0.000  0.500  0.000
N  0.500  0.000  0.000
N  0.500  0.500  0.500

Results
**Formation energy (no corrections)**: 0.291 eV/atom

***

2.
The following is a meta-GGA SCAN calculation of Zr3Al2 at its PBEsol-relaxed geometry, from Alexandria via LeMat-Bulk.

abc: 7.582 7.582 6.916
angles: 90.00 90.00 90.00
Fractional positions:
Zr  0.000  0.500  0.250
Zr  0.000  0.500  0.750
Zr  0.157  0.157  0.000
Zr  0.199  0.199  0.500
Zr  0.301  0.699  0.000
Zr  0.343  0.657  0.500
Zr  0.500  0.000  0.250
Zr  0.500  0.000  0.750
Zr  0.657  0.343  0.500
Zr  0.699  0.301  0.000
Zr  0.801  0.801  0.500
Zr  0.843  0.843  0.000
Al  0.121  0.879  0.287
Al  0.121  0.879  0.713
Al  0.379  0.379  0.213
Al  0.379  0.379  0.787
Al  0.621  0.621  0.213
Al  0.621  0.621  0.787
Al  0.879  0.121  0.287
Al  0.879  0.121  0.713

Results
**ΔE_f**: -0.430 eV/atom

***

3.
The following is a meta-GGA SCAN calculation of FeCuSb2 at its PBEsol-relaxed geometry, from Alexandria via LeMat-Bulk.

abc: 3.239 3.239 7.112
angles: 90.00 90.00 90.00
Fractional positions:
Fe  0.000  0.000  0.000
Cu  0.500  0.500  0.825
Sb  0.000  0.000  0.620
Sb  0.500  0.500  0.198

Results
**Formation energy (no corrections)**: 0.215 eV/atom